Entry 1:
# CePb3

A relaxed structure of CePb3 (PBE, the Alexandria database).

Computed properties:
- Symmetry: No. 221
- V: 118 Å³ per cell
- E_form: -352 meV/atom

Unit cell a=4.902 b=4.902 c=4.902 alpha=90.00 beta=90.00 gamma=90.00
Sites, in units of the cell vectors:
Ce  0.000  0.000  0.000
Pb  0.000  0.500  0.500
Pb  0.500  0.000  0.500
Pb  0.500  0.500  0.000

***

Entry 2:
# Dy3TlS

A relaxed structure of Dy3TlS (PBE, the Alexandria database).

Computed properties:
- Symmetry: No. 221
- V: 138 Å³ per cell
- Polymorph energy (0 for the lowest one): 158 meV/atom

Unit cell a=5.167 b=5.167 c=5.167 alpha=90.00 beta=90.00 gamma=90.00
Sites, in units of the cell vectors:
Dy  0.000  0.000  0.500
Dy  0.000  0.500  0.000
Dy  0.500  0.000  0.000
Tl  0.500  0.500  0.500
S  0.000  0.000  0.000

***

Entry 3:
# ZrNpTaIr

A relaxed structure of ZrNpTaIr (PBE, the Alexandria database).

Computed properties:
- Symmetry: No. 216
- V: 75 Å³ per cell
- E_form: 80 meV/atom

Unit cell a=4.733 b=4.733 c=4.733 alpha=60.00 beta=60.00 gamma=60.00
Sites, in units of the cell vectors:
Zr  0.000  0.000  0.000
Np  0.750  0.750  0.750
Ta  0.500  0.500  0.500
Ir  0.250  0.250  0.250

***

Table of density of states at the Fermi level (states/eV per cell), in record order: 5.8, 3.9, 12.9